# 1
DFT (PBE) results for a relaxed Na3Ca12O5 crystal.

Cell lengths 14.234, 14.234, 14.234 Å; angles 109.47, 109.47, 109.47 degrees
Sites, in units of the cell vectors:
O 0.125 0.750 0.375
O 0.500 0.000 0.500
O 0.625 0.750 0.875
O 0.500 0.500 0.000
O 0.875 0.625 0.750
O 0.250 0.875 0.125
O 0.375 0.250 0.125
O 0.250 0.375 0.625
O 0.750 0.125 0.875
O 0.375 0.125 0.750
O 0.500 0.500 0.500
O 0.000 0.000 0.500
O 0.000 0.500 0.000
O 0.875 0.250 0.625
O 0.000 0.500 0.500
O 0.750 0.625 0.375
O 0.625 0.875 0.250
O 0.125 0.375 0.250
O 0.000 0.000 0.000
O 0.500 0.000 0.000
Ca 0.918 0.809 0.815
Ca 0.185 0.691 0.082
Ca 0.691 0.185 0.582
Ca 0.103 0.418 0.109
Ca 0.494 0.309 0.891
Ca 0.315 0.418 0.809
Ca 0.191 0.109 0.006
Ca 0.809 0.918 0.315
Ca 0.391 0.397 0.582
Ca 0.994 0.603 0.685
Ca 0.609 0.603 0.418
Ca 0.809 0.891 0.994
Ca 0.082 0.191 0.185
Ca 0.397 0.391 0.082
Ca 0.603 0.609 0.918
Ca 0.685 0.103 0.994
Ca 0.918 0.109 0.603
Ca 0.191 0.082 0.685
Ca 0.109 0.191 0.506
Ca 0.309 0.494 0.391
Ca 0.006 0.397 0.315
Ca 0.897 0.315 0.506
Ca 0.397 0.006 0.815
Ca 0.006 0.609 0.191
Ca 0.109 0.918 0.103
Ca 0.685 0.582 0.191
Ca 0.315 0.897 0.006
Ca 0.391 0.994 0.309
Ca 0.309 0.815 0.418
Ca 0.582 0.685 0.691
Ca 0.609 0.006 0.691
Ca 0.506 0.815 0.897
Ca 0.418 0.315 0.309
Ca 0.494 0.185 0.103
Ca 0.897 0.582 0.891
Ca 0.891 0.082 0.897
Ca 0.815 0.506 0.397
Ca 0.891 0.809 0.494
Ca 0.103 0.685 0.494
Ca 0.994 0.391 0.809
Ca 0.603 0.994 0.185
Ca 0.691 0.506 0.609
Ca 0.082 0.891 0.397
Ca 0.185 0.494 0.603
Ca 0.815 0.309 0.918
Ca 0.418 0.103 0.609
Ca 0.582 0.897 0.391
Ca 0.506 0.691 0.109
Na 0.625 0.250 0.375
Na 0.625 0.375 0.750
Na 0.250 0.125 0.375
Na 0.750 0.875 0.625
Na 0.375 0.750 0.625
Na 0.125 0.250 0.875
Na 0.750 0.375 0.125
Na 0.375 0.625 0.250
Na 0.250 0.625 0.875
Na 0.125 0.875 0.750
Na 0.875 0.750 0.125
Na 0.875 0.125 0.250

## Properties
Its symmetry is Ia-3d, No. 230. The calculation puts the formation energy (no corrections) at -1.20 eV/atom.



# 2
DFT (PBE) results for a relaxed Lu2Co3Si5 crystal.

Cell lengths 7.771, 7.771, 5.430 Å; angles 71.04, 71.04, 93.66 degrees
Site moments in Bohr magnetons follow the coordinates.
Sites, in units of the cell vectors:
Si 0.932 0.736 0.667  0.00
Si 0.068 0.264 0.333  0.00
Si 0.264 0.068 0.833  0.00
Si 0.512 0.488 0.250  0.00
Si 0.773 0.227 0.250  0.00
Si 0.488 0.512 0.750  0.00
Si 0.212 0.788 0.250  0.00
Si 0.788 0.212 0.750  0.00
Si 0.736 0.932 0.167  0.00
Si 0.227 0.773 0.750  0.00
Co 0.541 0.262 0.626  -0.03
Co 0.003 0.997 0.250  -0.28
Co 0.459 0.738 0.374  -0.03
Co 0.262 0.541 0.126  -0.03
Co 0.997 0.003 0.750  -0.28
Co 0.738 0.459 0.874  -0.03
Lu 0.870 0.595 0.265  0.00
Lu 0.405 0.130 0.235  0.00
Lu 0.130 0.405 0.735  0.00
Lu 0.595 0.870 0.765  0.00

## Properties
Its symmetry is C2/c, No. 15. The calculation puts the formation energy (no corrections) at -0.76 eV/atom.



# 3
DFT (PBE) results for a relaxed V2PSe2 crystal.

Cell lengths 6.978, 6.978, 3.257 Å; angles 90.00, 90.00, 90.00 degrees
Site moments in Bohr magnetons follow the coordinates.
Sites, in units of the cell vectors:
V 0.148 0.352 0.000  1.12
V 0.352 0.852 0.000  1.12
V 0.648 0.148 0.000  1.12
V 0.852 0.648 0.000  1.12
Se 0.856 0.356 0.500  -0.07
Se 0.356 0.144 0.500  -0.07
Se 0.144 0.644 0.500  -0.07
Se 0.644 0.856 0.500  -0.07
P 0.500 0.500 0.000  -0.10
P 0.000 0.000 0.000  -0.10

## Properties
Its symmetry is P4/mbm, No. 127. The calculation puts the formation energy (no corrections) at -0.17 eV/atom.



# 4
DFT (PBE) results for a relaxed HoErMnHg crystal.

Cell lengths 5.110, 5.110, 5.110 Å; angles 60.00, 60.00, 60.00 degrees
Site moments in Bohr magnetons follow the coordinates.
Sites, in units of the cell vectors:
Ho 0.250 0.250 0.250  -0.27
Er 0.750 0.750 0.750  -0.28
Mn 0.500 0.500 0.500  3.48
Hg 0.000 0.000 0.000  -0.04

## Properties
Its symmetry is F-43m, No. 216.



no.,volume (A^3/atom),E_tot (eV for the cell shown)
1,27.75,-307.2
2,14.40,-130.2
3,15.86,-62.9
4,23.58,-19.0